Record 1
## RbBa2ZrTl (PBE)

Data for a geometry-optimized RbBa2ZrTl structure.

Cell: 6.2376 6.2376 6.6412 Å, 90.00 90.00 90.00°
With the nearest neighbours (Å) after each atom.
Atoms (fractional coordinates):
Rb: 0.0000 0.0000 0.0000  2 Zr 3.32
Ba: 0.0000 0.5000 0.5000  2 Zr 3.12
Ba: 0.5000 0.0000 0.5000  2 Zr 3.12
Zr: 0.0000 0.0000 0.5000  4 Ba 3.12, 2 Rb 3.32
Tl: 0.5000 0.5000 0.0000  4 Rb 4.41, 8 Ba 4.56

The total magnetic moment is 0.6 μB per formula unit. Its formation energy is 0.830 eV/atom. As for the calculated density: 4.2 Mg/m³.

Record 2
## AlSn2Se (PBE)

Data for a geometry-optimized AlSn2Se structure.

Cell: 7.9740 7.9740 7.9740 Å, 133.59 133.59 67.74°
With the nearest neighbours (Å) after each atom.
Atoms (fractional coordinates):
Al: 0.0000 0.0000 0.0000  4 Sn 2.71
Al: 0.7500 0.2500 0.5000  4 Sn 2.71
Sn: 0.1068 0.6250 0.9818  2 Al 2.71, 2 Se 2.84
Sn: 0.3750 0.3568 0.4818  2 Al 2.71, 2 Se 2.84
Sn: 0.6432 0.1250 0.0182  2 Al 2.71, 2 Se 2.84
Sn: 0.8750 0.8932 0.5182  2 Al 2.71, 2 Se 2.84
Se: 0.2500 0.7500 0.5000  4 Sn 2.84
Se: 0.5000 0.5000 0.0000  4 Sn 2.84

For the energy above the most stable polymorph in this dataset, the calculation gives 0.000 eV per atom. The total magnetic moment is 0.0 μB per formula unit. The raw formation energy is 65 meV per atom. As for the calculated density: 4.4 Mg/m³.

Record 3
## CaAcCd17 (PBE)

Data for a geometry-optimized CaAcCd17 structure.

Cell: 7.7555 7.7555 7.7555 Å, 82.37 82.37 82.37°
With the nearest neighbours (Å) after each atom.
Atoms (fractional coordinates):
Ca: 0.0000 0.0000 0.0000  13 Cd 3.44-3.68
Ac: 0.6677 0.6677 0.6677  19 Cd 3.61-3.92
Cd: 0.0360 0.3297 0.6327  8 Cd 2.95-3.24
Cd: 0.0360 0.6327 0.3297  8 Cd 2.95-3.24
Cd: 0.1559 0.6981 0.6981  8 Cd 2.89-3.24
Cd: 0.2276 0.2276 0.2276  7 Cd 3.04-3.19
Cd: 0.3297 0.0360 0.6327  8 Cd 2.95-3.24
Cd: 0.3297 0.6327 0.0360  8 Cd 2.95-3.24
Cd: 0.3426 0.3426 0.8222  10 Cd 2.95-3.19
Cd: 0.3426 0.8222 0.3426  10 Cd 2.95-3.19
Cd: 0.4287 0.4287 0.4287  10 Cd 3.04-3.37
Cd: 0.4786 0.9798 0.9798  9 Cd 2.89-3.21
Cd: 0.6327 0.0360 0.3297  8 Cd 2.95-3.24
Cd: 0.6327 0.3297 0.0360  8 Cd 2.95-3.24
Cd: 0.6981 0.1559 0.6981  8 Cd 2.89-3.24
Cd: 0.6981 0.6981 0.1559  8 Cd 2.89-3.24
Cd: 0.8222 0.3426 0.3426  10 Cd 2.95-3.19
Cd: 0.9798 0.4786 0.9798  9 Cd 2.89-3.21
Cd: 0.9798 0.9798 0.4786  9 Cd 2.89-3.21

The total magnetic moment is 0.0 μB per formula unit. Its formation energy is -0.159 eV/atom. As for the calculated density: 7.9 Mg/m³.

Calculated DOS at the Fermi energy, 4.921, 3.978, 6.186 states/eV/f.u. (same order as the records).
Calculated total energy, -11.6, -29.9, -24.7 eV/cell (same order as the records).